VH6F12 | GGA+U | optimized geometry

Calculated values
DOS(E_F): 48.14 states/eV per cell
raw total energy: -4.316 eV per atom

Cell: 7.8056 7.8056 14.4777 Å, 90.00 90.00 120.00°
Space group R-3 (No. 148, hexagonal axes)
One atom of each set of equivalent atoms:
V 0.0000 0.0000 0.0000 (multiplicity 3)
H 0.0219 0.8565 0.4060 (multiplicity 18)
F 0.0234 0.2002 0.9277 (multiplicity 18)
F 0.0496 0.2113 0.4082 (multiplicity 18)